KTlBi4 | PBE | optimized geometry

Cell and atoms, written as POSCAR:
```
KTlBi4
1.0
6.736 0.000 0.000
3.368 5.834 0.000
3.368 1.945 5.500
Bi Tl K
4 1 1
Direct
0.626 0.626 0.122
0.626 0.626 0.626
0.626 0.122 0.626
0.122 0.626 0.626
0.000 0.000 0.000
0.250 0.250 0.250
```

## Properties
ΔH_f (0 K) = -0.100 eV per atom
Space group = F-43m, No. 216
D(E_F) = 6.36 states/eV per cell



K2TlBi | PBE | optimized geometry

Cell and atoms, written as POSCAR:
```
K2TlBi
1.0
-0.718 1.371 -4.985
4.721 -1.878 -1.196
-2.874 -11.064 -5.361
Tl Bi K
2 2 4
Direct
0.500 0.500 0.000
0.250 0.750 0.500
0.000 0.000 0.000
0.750 0.250 0.500
0.375 0.372 0.750
0.122 0.625 0.250
0.628 0.125 0.250
0.875 0.878 0.750
```

## Properties
ΔH_f (0 K) = 0.025 eV per atom
Space group = I-42d, No. 122
D(E_F) = 8.25 states/eV per cell



K2TlBi2 | PBE | optimized geometry

Cell and atoms, written as POSCAR:
```
K2TlBi2
1.0
-2.897 4.356 2.184
-2.261 -1.073 6.500
7.830 6.081 5.615
Tl K Bi
2 4 4
Direct
0.220 0.931 0.630
0.780 0.069 0.370
0.323 0.263 0.091
0.677 0.737 0.909
0.501 0.320 0.678
0.499 0.680 0.322
0.135 0.315 0.416
0.865 0.685 0.584
0.019 0.849 0.113
0.981 0.151 0.887
```

## Properties
ΔH_f (0 K) = -0.277 eV per atom
Space group = C2/m, No. 12
D(E_F) = 6.62 states/eV per cell
Polymorph energy (0 for the lowest one) = 1 meV/atom



Number 1: VASP energy -19.6 eV for the cell shown. Number 2: VASP energy -16.7 eV for the cell shown. Number 3: VASP energy -27.4 eV for the cell shown.